# Ac2PmHg3

Ac2PmHg3 after structural relaxation (PBE, the Alexandria database).

Lattice parameters (Å, degrees): 6.6907 7.2714 8.8106 103.68 112.31 90.00
Fractional positions:
Hg: 0.9587 0.4672 0.6975
Pm: 0.8806 0.7500 0.0000
Pm: 0.1194 0.2500 0.0000
Ac: 0.4263 0.3947 0.6535
Hg: 0.0413 0.5328 0.3025
Hg: 0.6176 0.2500 0.0000
Hg: 0.3824 0.7500 0.0000
Ac: 0.2272 0.8947 0.6535
Hg: 0.7388 0.9672 0.6975
Ac: 0.7728 0.1053 0.3465
Ac: 0.5737 0.6053 0.3465
Hg: 0.2612 0.0328 0.3025

* symmetry: No. 15
* energy relative to the elements: -36 kJ per mole of atoms
* energy relative to the lowest polymorph listed for this composition: 8.8 kJ per mole of atoms